Entry 1:
First-principles (GGA-PBE) data for a relaxed structure of NaHgI2O, as listed in Alexandria.

Properties
- Uncorrected formation energy: 0.3 eV/f.u.
- Spin magnetization: 1.720 μB/f.u.

a b c (Å): 5.998 5.998 4.370
angles (deg): 90.00 90.00 90.00
Sites, in units of the cell vectors:
Na: 0.000 0.000 0.000
Hg: 0.500 0.500 0.500
I: 0.000 0.500 0.000
I: 0.500 0.000 0.000
O: 0.000 0.000 0.500

=====

Entry 2:
First-principles (GGA-PBE) data for a relaxed structure of Na2HgIO, as listed in Alexandria.

Properties
- Uncorrected formation energy: -4.5 eV/f.u.
- Spin magnetization: 0.000 μB/f.u.

a b c (Å): 5.075 5.075 4.636
angles (deg): 90.00 90.00 90.00
Sites, in units of the cell vectors:
Na: 0.000 0.500 0.000
Na: 0.500 0.000 0.000
Hg: 0.000 0.000 0.500
I: 0.500 0.500 0.500
O: 0.000 0.000 0.000

=====

Entry 3:
First-principles (GGA-PBE) data for a relaxed structure of Na2HgIO4, as listed in Alexandria.

Properties
- Uncorrected formation energy: -5.4 eV/f.u.
- Spin magnetization: 1.049 μB/f.u.

a b c (Å): 5.517 5.517 5.517
angles (deg): 112.45 112.45 103.67
Sites, in units of the cell vectors:
Na: 0.000 0.000 0.000
Na: 0.750 0.250 0.500
Hg: 0.500 0.500 0.000
I: 0.250 0.750 0.500
O: 0.095 0.054 0.622
O: 0.432 0.472 0.378
O: 0.528 0.905 0.960
O: 0.946 0.568 0.040

=====

Computed DOS at the Fermi energy, in the same sequence as the records: 3.75, 0.05, 3.08 states/eV/f.u..
Computed V, in the same sequence as the records: 31.44, 23.88, 16.04 Å³ per atom.